Entry 1:
A plane-wave DFT calculation with GGA-PBE was carried out for an optimized crystal structure of SmHo3Tc.

The structure in CIF format:
```
data_SmHo3Tc
_chemical_formula_sum 'Sm2 Ho6 Tc2'
_cell_length_a 8.635
_cell_length_b 3.775
_cell_length_c 8.704
_cell_angle_alpha 90.00
_cell_angle_beta 101.95
_cell_angle_gamma 90.00
_symmetry_space_group_name_H-M 'P 1 21/m 1'
_symmetry_Int_Tables_number 11
loop_
_symmetry_equiv_pos_as_xyz
'x,y,z'
'-x,-y,-z'
'-x,y+1/2,-z'
'x,-y+1/2,z'
loop_
_atom_site_label
_atom_site_type_symbol
_atom_site_fract_x
_atom_site_fract_y
_atom_site_fract_z
Sm1 Sm 0.169 0.250 0.012
Ho1 Ho 0.026 0.750 0.664
Ho2 Ho 0.342 0.750 0.388
Ho3 Ho 0.423 0.750 0.818
Tc1 Tc 0.263 0.250 0.599
```

***

Entry 2:
A plane-wave DFT calculation with GGA-PBE was carried out for an optimized crystal structure of Sm3HoTc.

The structure in CIF format:
```
data_Sm3HoTc
_chemical_formula_sum 'Sm3 Ho1 Tc1'
_cell_length_a 5.454
_cell_length_b 5.454
_cell_length_c 5.454
_cell_angle_alpha 90.00
_cell_angle_beta 90.00
_cell_angle_gamma 90.00
_symmetry_space_group_name_H-M 'P m -3 m'
_symmetry_Int_Tables_number 221
_symmetry_space_group_name_Hall '-P 4 2 3'
loop_
_atom_site_label
_atom_site_type_symbol
_atom_site_fract_x
_atom_site_fract_y
_atom_site_fract_z
Sm1 Sm 0.000 0.000 0.500
Ho1 Ho 0.500 0.500 0.500
Tc1 Tc 0.000 0.000 0.000
```

***

Entry 3:
A plane-wave DFT calculation with GGA-PBE was carried out for an optimized crystal structure of SmHoTc.

The structure in CIF format:
```
data_SmHoTc
_chemical_formula_sum 'Sm2 Ho2 Tc2'
_cell_length_a 3.488
_cell_length_b 3.488
_cell_length_c 12.631
_cell_angle_alpha 90.00
_cell_angle_beta 90.00
_cell_angle_gamma 90.00
_symmetry_space_group_name_H-M 'I 4 m m'
_symmetry_Int_Tables_number 107
_symmetry_space_group_name_Hall 'I 4 -2'
loop_
_atom_site_label
_atom_site_type_symbol
_atom_site_fract_x
_atom_site_fract_y
_atom_site_fract_z
Sm1 Sm 0.000 0.000 0.000
Ho1 Ho 0.000 0.000 0.259
Tc1 Tc 0.000 0.000 0.634
```

***

Number 1: uncorrected energy -5.83 eV/atom, ΔE to the lowest computed polymorph 0 meV per atom, E_form -65 meV per atom. Number 2: uncorrected energy -5.62 eV/atom, ΔE to the lowest computed polymorph 218 meV per atom, E_form 204 meV per atom. Number 3: uncorrected energy -6.55 eV/atom, ΔE to the lowest computed polymorph 0 meV per atom, E_form 1 meV per atom.